Density functional theory data (PBE-GGA) for crystalline La2TmBiO6 at its relaxed geometry.

## Properties
E_form (uncorrected) in eV per atom: -2.7391

Structure (POSCAR):
```
La2TmBiO6
1.0
-5.380 -0.010 -1.782
-1.430 -3.252 4.336
-1.030 4.566 3.084
O Bi La Tm
6 1 2 1
Direct
0.202 0.000 0.000
0.746 0.755 0.245
0.154 0.500 0.500
0.746 0.245 0.245
0.746 0.245 0.755
0.746 0.755 0.755
0.559 0.500 0.500
0.986 0.000 0.500
0.986 0.500 0.000
0.576 0.000 0.000
```